# 1
! RePICl2 PBE-GGA optimized geometry; values from VASP
&SYSTEM
  ibrav = 0, nat = 5, ntyp = 4
/
ATOMIC_SPECIES
Re 186.21 Re.upf
P 30.97 P.upf
I 126.90 I.upf
Cl 35.45 Cl.upf
ATOMIC_POSITIONS crystal
Re 0.000 0.000 0.000
P 0.500 0.500 0.000
I 0.500 0.500 0.500
Cl 0.000 0.500 0.500
Cl 0.500 0.000 0.500
CELL_PARAMETERS angstrom
5.369 0.000 0.000
0.000 5.369 0.000
0.000 0.000 5.424
! - D(E_F) (states/eV/f.u.) = 3.2
! - E above lowest polymorph (meV per atom) = 1371

---

# 2
! ReP2ICl PBE-GGA optimized geometry; values from VASP
&SYSTEM
  ibrav = 0, nat = 5, ntyp = 4
/
ATOMIC_SPECIES
Re 186.21 Re.upf
P 30.97 P.upf
I 126.90 I.upf
Cl 35.45 Cl.upf
ATOMIC_POSITIONS crystal
Re 0.000 0.000 0.000
P 0.000 0.500 0.000
P 0.500 0.000 0.000
I 0.500 0.500 0.500
Cl 0.000 0.000 0.500
CELL_PARAMETERS angstrom
4.691 0.000 0.000
0.000 4.691 0.000
0.000 0.000 4.902
! - D(E_F) (states/eV/f.u.) = 2.9
! - E above lowest polymorph (meV per atom) = 0

---

# 3
! PRuI2Cl PBE-GGA optimized geometry; values from VASP
&SYSTEM
  ibrav = 0, nat = 5, ntyp = 4
/
ATOMIC_SPECIES
P 30.97 P.upf
Ru 101.07 Ru.upf
I 126.90 I.upf
Cl 35.45 Cl.upf
ATOMIC_POSITIONS crystal
P 0.000 0.000 0.000
Ru 0.500 0.500 0.000
I 0.000 0.500 0.500
I 0.500 0.000 0.500
Cl 0.500 0.500 0.500
CELL_PARAMETERS angstrom
6.416 0.000 0.000
0.000 6.416 0.000
0.000 0.000 4.346
! - E_tot (eV for the cell shown) = -12.50
! - D(E_F) (states/eV/f.u.) = 7.0

---

# 4
! SbP2ICl PBE-GGA optimized geometry; values from VASP
&SYSTEM
  ibrav = 0, nat = 5, ntyp = 4
/
ATOMIC_SPECIES
Sb 121.76 Sb.upf
P 30.97 P.upf
I 126.90 I.upf
Cl 35.45 Cl.upf
ATOMIC_POSITIONS crystal
Sb 0.000 0.000 0.000
P 0.000 0.500 0.000
P 0.500 0.000 0.000
I 0.500 0.500 0.500
Cl 0.000 0.000 0.500
CELL_PARAMETERS angstrom
5.247 0.000 0.000
0.000 5.247 0.000
0.000 0.000 5.091
! - D(E_F) (states/eV/f.u.) = 5.6
! - E above lowest polymorph (meV per atom) = 0

---

# 5
! SbPICl2 PBE-GGA optimized geometry; values from VASP
&SYSTEM
  ibrav = 0, nat = 5, ntyp = 4
/
ATOMIC_SPECIES
Sb 121.76 Sb.upf
P 30.97 P.upf
I 126.90 I.upf
Cl 35.45 Cl.upf
ATOMIC_POSITIONS crystal
Sb 0.000 0.000 0.000
P 0.500 0.500 0.000
I 0.500 0.500 0.500
Cl 0.000 0.500 0.500
Cl 0.500 0.000 0.500
CELL_PARAMETERS angstrom
5.314 0.000 0.000
0.000 5.314 0.000
0.000 0.000 5.535
! - D(E_F) (states/eV/f.u.) = 4.4
! - E above lowest polymorph (meV per atom) = 629

---

# 6
! SbPICl2 PBE-GGA optimized geometry; values from VASP
&SYSTEM
  ibrav = 0, nat = 5, ntyp = 4
/
ATOMIC_SPECIES
Sb 121.76 Sb.upf
P 30.97 P.upf
I 126.90 I.upf
Cl 35.45 Cl.upf
ATOMIC_POSITIONS crystal
Sb 0.000 0.000 0.000
P 0.000 0.000 0.500
I 0.500 0.500 0.500
Cl 0.000 0.500 0.000
Cl 0.500 0.000 0.000
CELL_PARAMETERS angstrom
5.065 0.000 0.000
0.000 5.065 0.000
0.000 0.000 5.849
! - D(E_F) (states/eV/f.u.) = 3.9
! - E above lowest polymorph (meV per atom) = 0

---

# 7
! ScPI2Cl PBE-GGA optimized geometry; values from VASP
&SYSTEM
  ibrav = 0, nat = 5, ntyp = 4
/
ATOMIC_SPECIES
Sc 44.96 Sc.upf
P 30.97 P.upf
I 126.90 I.upf
Cl 35.45 Cl.upf
ATOMIC_POSITIONS crystal
Sc 0.000 0.000 0.000
P 0.000 0.000 0.500
I 0.000 0.500 0.500
I 0.500 0.000 0.500
Cl 0.500 0.500 0.000
CELL_PARAMETERS angstrom
5.472 0.000 0.000
0.000 5.472 0.000
0.000 0.000 5.108
! - E_tot (eV for the cell shown) = -17.47
! - D(E_F) (states/eV/f.u.) = 2.9

---

# 8
! ScP2ICl PBE-GGA optimized geometry; values from VASP
&SYSTEM
  ibrav = 0, nat = 5, ntyp = 4
/
ATOMIC_SPECIES
Sc 44.96 Sc.upf
P 30.97 P.upf
I 126.90 I.upf
Cl 35.45 Cl.upf
ATOMIC_POSITIONS crystal
Sc 0.000 0.000 0.000
P 0.000 0.500 0.000
P 0.500 0.000 0.000
I 0.500 0.500 0.500
Cl 0.000 0.000 0.500
CELL_PARAMETERS angstrom
5.172 0.000 0.000
0.000 5.172 0.000
0.000 0.000 4.827
! - D(E_F) (states/eV/f.u.) = 3.3
! - E above lowest polymorph (meV per atom) = 0

---

# 9
! ScPICl2 PBE-GGA optimized geometry; values from VASP
&SYSTEM
  ibrav = 0, nat = 5, ntyp = 4
/
ATOMIC_SPECIES
Sc 44.96 Sc.upf
P 30.97 P.upf
I 126.90 I.upf
Cl 35.45 Cl.upf
ATOMIC_POSITIONS crystal
Sc 0.000 0.000 0.000
P 0.000 0.000 0.500
I 0.500 0.500 0.500
Cl 0.000 0.500 0.000
Cl 0.500 0.000 0.000
CELL_PARAMETERS angstrom
4.781 0.000 0.000
0.000 4.781 0.000
0.000 0.000 5.783
! - D(E_F) (states/eV/f.u.) = 1.9
! - E above lowest polymorph (meV per atom) = 0

---

# 10
! ScPICl2 PBE-GGA optimized geometry; values from VASP
&SYSTEM
  ibrav = 0, nat = 5, ntyp = 4
/
ATOMIC_SPECIES
Sc 44.96 Sc.upf
P 30.97 P.upf
I 126.90 I.upf
Cl 35.45 Cl.upf
ATOMIC_POSITIONS crystal
Sc 0.000 0.000 0.000
P 0.500 0.500 0.000
I 0.500 0.500 0.500
Cl 0.000 0.500 0.500
Cl 0.500 0.000 0.500
CELL_PARAMETERS angstrom
5.280 0.000 0.000
0.000 5.280 0.000
0.000 0.000 5.444
! - D(E_F) (states/eV/f.u.) = 5.7
! - E above lowest polymorph (meV per atom) = 1302

---

# 11
! ScP2ICl PBE-GGA optimized geometry; values from VASP
&SYSTEM
  ibrav = 0, nat = 5, ntyp = 4
/
ATOMIC_SPECIES
Sc 44.96 Sc.upf
P 30.97 P.upf
I 126.90 I.upf
Cl 35.45 Cl.upf
ATOMIC_POSITIONS crystal
Sc 0.000 0.000 0.000
P 0.000 0.500 0.500
P 0.500 0.000 0.500
I 0.500 0.500 0.500
Cl 0.500 0.500 0.000
CELL_PARAMETERS angstrom
5.152 0.000 0.000
0.000 5.152 0.000
0.000 0.000 5.113
! - D(E_F) (states/eV/f.u.) = 3.1
! - E above lowest polymorph (meV per atom) = 846

---

# 12
! PSe2ICl PBE-GGA optimized geometry; values from VASP
&SYSTEM
  ibrav = 0, nat = 5, ntyp = 4
/
ATOMIC_SPECIES
P 30.97 P.upf
Se 78.96 Se.upf
I 126.90 I.upf
Cl 35.45 Cl.upf
ATOMIC_POSITIONS crystal
P 0.000 0.000 0.000
Se 0.000 0.500 0.000
Se 0.500 0.000 0.000
I 0.500 0.500 0.500
Cl 0.000 0.000 0.500
CELL_PARAMETERS angstrom
5.061 0.000 0.000
0.000 5.061 0.000
0.000 0.000 4.693
! - E_tot (eV for the cell shown) = -14.14
! - D(E_F) (states/eV/f.u.) = 4.4

---

# 13
! SiPICl2 PBE-GGA optimized geometry; values from VASP
&SYSTEM
  ibrav = 0, nat = 5, ntyp = 4
/
ATOMIC_SPECIES
Si 28.09 Si.upf
P 30.97 P.upf
I 126.90 I.upf
Cl 35.45 Cl.upf
ATOMIC_POSITIONS crystal
Si 0.000 0.000 0.000
P 0.500 0.500 0.500
I 0.500 0.500 0.000
Cl 0.000 0.500 0.500
Cl 0.500 0.000 0.500
CELL_PARAMETERS angstrom
4.690 0.000 0.000
0.000 4.690 0.000
0.000 0.000 6.113
! - D(E_F) (states/eV/f.u.) = 3.3
! - E above lowest polymorph (meV per atom) = 327

---

# 14
! SiP2ICl PBE-GGA optimized geometry; values from VASP
&SYSTEM
  ibrav = 0, nat = 5, ntyp = 4
/
ATOMIC_SPECIES
Si 28.09 Si.upf
P 30.97 P.upf
I 126.90 I.upf
Cl 35.45 Cl.upf
ATOMIC_POSITIONS crystal
Si 0.000 0.000 0.000
P 0.000 0.500 0.000
P 0.500 0.000 0.000
I 0.500 0.500 0.500
Cl 0.000 0.000 0.500
CELL_PARAMETERS angstrom
4.762 0.000 0.000
0.000 4.762 0.000
0.000 0.000 4.599
! - D(E_F) (states/eV/f.u.) = 2.3
! - E above lowest polymorph (meV per atom) = 0

---

# 15
! SiPICl2 PBE-GGA optimized geometry; values from VASP
&SYSTEM
  ibrav = 0, nat = 5, ntyp = 4
/
ATOMIC_SPECIES
Si 28.09 Si.upf
P 30.97 P.upf
I 126.90 I.upf
Cl 35.45 Cl.upf
ATOMIC_POSITIONS crystal
Si 0.000 0.000 0.000
P 0.000 0.000 0.500
I 0.500 0.500 0.500
Cl 0.000 0.500 0.000
Cl 0.500 0.000 0.000
CELL_PARAMETERS angstrom
4.586 0.000 0.000
0.000 4.586 0.000
0.000 0.000 5.400
! - D(E_F) (states/eV/f.u.) = 2.5
! - E above lowest polymorph (meV per atom) = 0

---

# 16
! SiPICl2 PBE-GGA optimized geometry; values from VASP
&SYSTEM
  ibrav = 0, nat = 5, ntyp = 4
/
ATOMIC_SPECIES
Si 28.09 Si.upf
P 30.97 P.upf
I 126.90 I.upf
Cl 35.45 Cl.upf
ATOMIC_POSITIONS crystal
Si 0.000 0.000 0.000
P 0.500 0.500 0.000
I 0.500 0.500 0.500
Cl 0.000 0.500 0.500
Cl 0.500 0.000 0.500
CELL_PARAMETERS angstrom
5.310 0.000 0.000
0.000 5.310 0.000
0.000 0.000 5.411
! - D(E_F) (states/eV/f.u.) = 3.3
! - E above lowest polymorph (meV per atom) = 948

---

# 17
! Sr6P2I3Cl PBE-GGA optimized geometry; values from VASP
&SYSTEM
  ibrav = 0, nat = 12, ntyp = 4
/
ATOMIC_SPECIES
Sr 87.62 Sr.upf
P 30.97 P.upf
I 126.90 I.upf
Cl 35.45 Cl.upf
ATOMIC_POSITIONS crystal
Sr 0.081 0.431 0.794
Sr 0.218 0.218 0.202
Sr 0.431 0.081 0.794
Sr 0.569 0.919 0.206
Sr 0.782 0.782 0.798
Sr 0.919 0.569 0.206
P 0.167 0.833 0.000
P 0.833 0.167 0.000
I 0.000 0.000 0.500
I 0.338 0.662 0.500
I 0.662 0.338 0.500
Cl 0.500 0.500 0.000
CELL_PARAMETERS angstrom
3.890 -6.731 0.000
3.890 6.731 0.000
-2.578 0.000 7.804
! - E_tot (eV for the cell shown) = -44.37
! - D(E_F) (states/eV/f.u.) = 4.6

---

# 18
! SrP2ICl PBE-GGA optimized geometry; values from VASP
&SYSTEM
  ibrav = 0, nat = 5, ntyp = 4
/
ATOMIC_SPECIES
Sr 87.62 Sr.upf
P 30.97 P.upf
I 126.90 I.upf
Cl 35.45 Cl.upf
ATOMIC_POSITIONS crystal
Sr 0.000 0.000 0.000
P 0.000 0.500 0.500
P 0.500 0.000 0.500
I 0.500 0.500 0.500
Cl 0.500 0.500 0.000
CELL_PARAMETERS angstrom
5.199 0.000 0.000
0.000 5.199 0.000
0.000 0.000 5.543
! - D(E_F) (states/eV/f.u.) = 4.8
! - E above lowest polymorph (meV per atom) = 0

---

# 19
! Sr2PICl PBE-GGA optimized geometry; values from VASP
&SYSTEM
  ibrav = 0, nat = 5, ntyp = 4
/
ATOMIC_SPECIES
Sr 87.62 Sr.upf
P 30.97 P.upf
I 126.90 I.upf
Cl 35.45 Cl.upf
ATOMIC_POSITIONS crystal
Sr 0.000 0.500 0.000
Sr 0.500 0.000 0.000
P 0.000 0.000 0.500
I 0.500 0.500 0.500
Cl 0.500 0.500 0.000
CELL_PARAMETERS angstrom
5.731 0.000 0.000
0.000 5.731 0.000
0.000 0.000 5.857
! - E_tot (eV for the cell shown) = -14.25
! - D(E_F) (states/eV/f.u.) = 3.1

---

# 20
! SrP2ICl PBE-GGA optimized geometry; values from VASP
&SYSTEM
  ibrav = 0, nat = 5, ntyp = 4
/
ATOMIC_SPECIES
Sr 87.62 Sr.upf
P 30.97 P.upf
I 126.90 I.upf
Cl 35.45 Cl.upf
ATOMIC_POSITIONS crystal
Sr 0.000 0.000 0.000
P 0.000 0.500 0.000
P 0.500 0.000 0.000
I 0.500 0.500 0.500
Cl 0.000 0.000 0.500
CELL_PARAMETERS angstrom
6.179 0.000 0.000
0.000 6.179 0.000
0.000 0.000 5.394
! - D(E_F) (states/eV/f.u.) = 6.2
! - E above lowest polymorph (meV per atom) = 212

---

# 21
! TaP2ICl PBE-GGA optimized geometry; values from VASP
&SYSTEM
  ibrav = 0, nat = 5, ntyp = 4
/
ATOMIC_SPECIES
Ta 180.95 Ta.upf
P 30.97 P.upf
I 126.90 I.upf
Cl 35.45 Cl.upf
ATOMIC_POSITIONS crystal
Ta 0.000 0.000 0.000
P 0.000 0.500 0.500
P 0.500 0.000 0.500
I 0.500 0.500 0.500
Cl 0.500 0.500 0.000
CELL_PARAMETERS angstrom
5.115 0.000 0.000
0.000 5.115 0.000
0.000 0.000 5.013
! - D(E_F) (states/eV/f.u.) = 6.0
! - E above lowest polymorph (meV per atom) = 1698

---

# 22
! TaP2ICl PBE-GGA optimized geometry; values from VASP
&SYSTEM
  ibrav = 0, nat = 5, ntyp = 4
/
ATOMIC_SPECIES
Ta 180.95 Ta.upf
P 30.97 P.upf
I 126.90 I.upf
Cl 35.45 Cl.upf
ATOMIC_POSITIONS crystal
Ta 0.000 0.000 0.000
P 0.000 0.500 0.000
P 0.500 0.000 0.000
I 0.500 0.500 0.500
Cl 0.000 0.000 0.500
CELL_PARAMETERS angstrom
4.943 0.000 0.000
0.000 4.943 0.000
0.000 0.000 4.827
! - D(E_F) (states/eV/f.u.) = 3.7
! - E above lowest polymorph (meV per atom) = 0

---

# 23
! TaPICl2 PBE-GGA optimized geometry; values from VASP
&SYSTEM
  ibrav = 0, nat = 5, ntyp = 4
/
ATOMIC_SPECIES
Ta 180.95 Ta.upf
P 30.97 P.upf
I 126.90 I.upf
Cl 35.45 Cl.upf
ATOMIC_POSITIONS crystal
Ta 0.000 0.000 0.000
P 0.500 0.500 0.000
I 0.500 0.500 0.500
Cl 0.000 0.500 0.500
Cl 0.500 0.000 0.500
CELL_PARAMETERS angstrom
5.244 0.000 0.000
0.000 5.244 0.000
0.000 0.000 5.416
! - D(E_F) (states/eV/f.u.) = 7.9
! - E above lowest polymorph (meV per atom) = 1749

---

# 24
! TaPICl2 PBE-GGA optimized geometry; values from VASP
&SYSTEM
  ibrav = 0, nat = 5, ntyp = 4
/
ATOMIC_SPECIES
Ta 180.95 Ta.upf
P 30.97 P.upf
I 126.90 I.upf
Cl 35.45 Cl.upf
ATOMIC_POSITIONS crystal
Ta 0.000 0.000 0.000
P 0.000 0.000 0.500
I 0.500 0.500 0.500
Cl 0.000 0.500 0.000
Cl 0.500 0.000 0.000
CELL_PARAMETERS angstrom
4.774 0.000 0.000
0.000 4.774 0.000
0.000 0.000 5.196
! - D(E_F) (states/eV/f.u.) = 4.4
! - E above lowest polymorph (meV per atom) = 0

---

# 25
! TePI2Cl PBE-GGA optimized geometry; values from VASP
&SYSTEM
  ibrav = 0, nat = 5, ntyp = 4
/
ATOMIC_SPECIES
Te 127.60 Te.upf
P 30.97 P.upf
I 126.90 I.upf
Cl 35.45 Cl.upf
ATOMIC_POSITIONS crystal
Te 0.000 0.000 0.000
P 0.000 0.000 0.500
I 0.000 0.500 0.500
I 0.500 0.000 0.500
Cl 0.500 0.500 0.000
CELL_PARAMETERS angstrom
5.419 0.000 0.000
0.000 5.419 0.000
0.000 0.000 5.386
! - D(E_F) (states/eV/f.u.) = 6.3
! - E above lowest polymorph (meV per atom) = 0

---

# 26
! TiPICl2 PBE-GGA optimized geometry; values from VASP
&SYSTEM
  ibrav = 0, nat = 5, ntyp = 4
/
ATOMIC_SPECIES
Ti 47.87 Ti.upf
P 30.97 P.upf
I 126.90 I.upf
Cl 35.45 Cl.upf
ATOMIC_POSITIONS crystal
Ti 0.000 0.000 0.000
P 0.000 0.000 0.500
I 0.500 0.500 0.500
Cl 0.000 0.500 0.000
Cl 0.500 0.000 0.000
CELL_PARAMETERS angstrom
4.630 0.000 0.000
0.000 4.630 0.000
0.000 0.000 5.436
! - D(E_F) (states/eV/f.u.) = 3.2
! - E above lowest polymorph (meV per atom) = 0

---

# 27
! TiPICl2 PBE-GGA optimized geometry; values from VASP
&SYSTEM
  ibrav = 0, nat = 5, ntyp = 4
/
ATOMIC_SPECIES
Ti 47.87 Ti.upf
P 30.97 P.upf
I 126.90 I.upf
Cl 35.45 Cl.upf
ATOMIC_POSITIONS crystal
Ti 0.000 0.000 0.000
P 0.500 0.500 0.000
I 0.500 0.500 0.500
Cl 0.000 0.500 0.500
Cl 0.500 0.000 0.500
CELL_PARAMETERS angstrom
5.294 0.000 0.000
0.000 5.294 0.000
0.000 0.000 5.417
! - D(E_F) (states/eV/f.u.) = 5.0
! - E above lowest polymorph (meV per atom) = 1460

---

# 28
! TlP2ICl PBE-GGA optimized geometry; values from VASP
&SYSTEM
  ibrav = 0, nat = 5, ntyp = 4
/
ATOMIC_SPECIES
Tl 204.38 Tl.upf
P 30.97 P.upf
I 126.90 I.upf
Cl 35.45 Cl.upf
ATOMIC_POSITIONS crystal
Tl 0.000 0.000 0.000
P 0.000 0.500 0.500
P 0.500 0.000 0.500
I 0.500 0.500 0.500
Cl 0.500 0.500 0.000
CELL_PARAMETERS angstrom
5.124 0.000 0.000
0.000 5.124 0.000
0.000 0.000 6.657
! - D(E_F) (states/eV/f.u.) = 5.5
! - E above lowest polymorph (meV per atom) = 0

---

# 29
! TlP2ICl PBE-GGA optimized geometry; values from VASP
&SYSTEM
  ibrav = 0, nat = 5, ntyp = 4
/
ATOMIC_SPECIES
Tl 204.38 Tl.upf
P 30.97 P.upf
I 126.90 I.upf
Cl 35.45 Cl.upf
ATOMIC_POSITIONS crystal
Tl 0.000 0.000 0.000
P 0.000 0.500 0.000
P 0.500 0.000 0.000
I 0.500 0.500 0.500
Cl 0.000 0.000 0.500
CELL_PARAMETERS angstrom
5.335 0.000 0.000
0.000 5.335 0.000
0.000 0.000 5.235
! - D(E_F) (states/eV/f.u.) = 3.7
! - E above lowest polymorph (meV per atom) = 75